Record 1
Crystalline Sc2VNi4 at its relaxed geometry. Source: Alexandria via LeMat-Bulk, functional GGA-PBE.

a b c (Å): 4.2649 4.2649 13.1538
angles (deg): 90.00 90.00 90.00
Space group I4/mmm (No. 139)
Asymmetric unit:
Sc 0.0000 0.0000 0.1363 (multiplicity 4)
V 0.0000 0.0000 0.5000 (multiplicity 2)
Ni 0.0000 0.0000 0.3294 (multiplicity 4)
Ni 0.0000 0.5000 0.0000 (multiplicity 4)

## Properties
Calculated density (g/cm³): 5.2
M_tot (μB per atom): 0.021
Energy relative to the elements (meV per atom): 272



Record 2
Crystalline Mg2CdCoC at its relaxed geometry. Source: Alexandria via LeMat-Bulk, functional GGA-PBE.

a b c (Å): 4.5669 4.5669 3.6458
angles (deg): 90.00 90.00 90.00
Space group P4/mmm (No. 123)
Asymmetric unit:
Mg 0.0000 0.5000 0.0000 (multiplicity 2)
Cd 0.0000 0.0000 0.5000 (multiplicity 1)
Co 0.5000 0.5000 0.5000 (multiplicity 1)
C 0.5000 0.5000 0.0000 (multiplicity 1)

## Properties
Calculated density (g/cm³): 5.1
M_tot (μB per atom): 0.000
Energy above the most stable polymorph in this dataset (eV/atom): 0.000
Energy relative to the elements (meV per atom): 84



Record 3
Crystalline BaReP2S at its relaxed geometry. Source: Alexandria via LeMat-Bulk, functional GGA-PBE.

a b c (Å): 5.3015 5.3015 5.3549
angles (deg): 90.00 90.00 90.00
Space group P4/mmm (No. 123)
Asymmetric unit:
Ba 0.0000 0.0000 0.0000 (multiplicity 1)
Re 0.5000 0.5000 0.5000 (multiplicity 1)
P 0.0000 0.5000 0.0000 (multiplicity 2)
S 0.0000 0.0000 0.5000 (multiplicity 1)

## Properties
Formation energy (no corrections) (eV/atom): 2.61
Calculated density (g/cm³): 4.6
M_tot (μB per atom): 0.000
Energy above the most stable polymorph in this dataset (eV/atom): 3.032



Record 4
Crystalline Y2HfAg2 at its relaxed geometry. Source: Alexandria via LeMat-Bulk, functional GGA-PBE.

a b c (Å): 8.1980 8.1980 3.6105
angles (deg): 90.00 90.00 90.00
Space group P4/mbm (No. 127)
Asymmetric unit:
Y 0.1723 0.3277 0.0000 (multiplicity 4)
Hf 0.0000 0.0000 0.5000 (multiplicity 2)
Ag 0.1270 0.6270 0.5000 (multiplicity 4)

## Properties
Calculated density (g/cm³): 7.8
M_tot (μB per atom): 0.000
Energy relative to the elements (meV per atom): -48



Record 5
Crystalline Hf2AlPb at its relaxed geometry. Source: Alexandria via LeMat-Bulk, functional GGA-PBE.

a b c (Å): 3.1992 3.1992 29.7285
angles (deg): 90.00 90.00 120.00
Space group R-3m (No. 166, hexagonal axes)
Asymmetric unit:
Hf 0.0000 0.0000 0.2461 (multiplicity 6)
Al 0.0000 0.0000 0.5000 (multiplicity 3)
Pb 0.0000 0.0000 0.0000 (multiplicity 3)

## Properties
Calculated density (g/cm³): 11.2
M_tot (μB per atom): 0.000
Energy above the most stable polymorph in this dataset (eV/atom): 0.091
Energy relative to the elements (meV per atom): 16



Record 6
Crystalline YF3 at its relaxed geometry. Source: Alexandria via LeMat-Bulk, functional GGA-PBE.

a b c (Å): 3.7844 3.7844 14.9646
angles (deg): 90.00 90.00 90.00
Space group I-42d (No. 122)
Asymmetric unit:
Y 0.0000 0.0000 0.0000 (multiplicity 4)
F 0.0000 0.0000 0.5000 (multiplicity 4)
F 0.1895 0.2500 0.1250 (multiplicity 8)

## Properties
Formation energy (no corrections) (eV/atom): -3.51
Calculated density (g/cm³): 4.5
M_tot (μB per atom): 0.000



Record 7
Crystalline Pm2Hg2Pb3 at its relaxed geometry. Source: Alexandria via LeMat-Bulk, functional GGA-PBE.

a b c (Å): 12.4326 4.2124 7.8763
angles (deg): 90.00 103.22 90.00
Space group C2/m (No. 12)
Asymmetric unit:
Pm 0.1255 0.0000 0.4316 (multiplicity 4)
Hg 0.0845 0.5000 0.7186 (multiplicity 4)
Pb 0.0000 0.0000 0.0000 (multiplicity 2)
Pb 0.2130 0.5000 0.1478 (multiplicity 4)

## Properties
Calculated density (g/cm³): 10.9
M_tot (μB per atom): 0.000
Energy relative to the elements (meV per atom): -248



Record 8
Crystalline PPtS2Cl at its relaxed geometry. Source: Alexandria via LeMat-Bulk, functional GGA-PBE.

a b c (Å): 4.6239 4.6239 4.3313
angles (deg): 90.00 90.00 90.00
Space group P4/mmm (No. 123)
Asymmetric unit:
P 0.0000 0.0000 0.0000 (multiplicity 1)
Pt 0.5000 0.5000 0.5000 (multiplicity 1)
S 0.0000 0.5000 0.0000 (multiplicity 2)
Cl 0.0000 0.0000 0.5000 (multiplicity 1)

## Properties
Formation energy (no corrections) (eV/atom): 0.82
Calculated density (g/cm³): 5.8
M_tot (μB per atom): 0.000
Energy above the most stable polymorph in this dataset (eV/atom): 0.071



Record 9
Crystalline Cu2SiIr at its relaxed geometry. Source: Alexandria via LeMat-Bulk, functional GGA-PBE.

a b c (Å): 2.6540 2.6540 7.5483
angles (deg): 90.00 90.00 90.00
Space group P4/mmm (No. 123)
Asymmetric unit:
Cu 0.0000 0.0000 0.2433 (multiplicity 2)
Si 0.5000 0.5000 0.0000 (multiplicity 1)
Ir 0.5000 0.5000 0.5000 (multiplicity 1)

## Properties
Formation energy (no corrections) (eV/atom): 0.20
Calculated density (g/cm³): 10.8
M_tot (μB per atom): 0.000



Record 10
Crystalline Mg5Si6 at its relaxed geometry. Source: Alexandria via LeMat-Bulk, functional GGA-PBE.

a b c (Å): 7.1195 4.0694 14.7130
angles (deg): 90.00 103.51 90.00
Space group P2_1/m (No. 11)
Asymmetric unit:
Mg 0.0498 0.2500 0.4019 (multiplicity 2)
Mg 0.1077 0.2500 0.1793 (multiplicity 2)
Mg 0.1793 0.2500 0.7639 (multiplicity 2)
Mg 0.4388 0.7500 0.6778 (multiplicity 2)
Mg 0.4453 0.7500 0.9091 (multiplicity 2)
Si 0.1692 0.2500 0.9486 (multiplicity 2)
Si 0.1815 0.7500 0.0465 (multiplicity 2)
Si 0.2033 0.2500 0.5873 (multiplicity 2)
Si 0.2350 0.7500 0.3152 (multiplicity 2)
Si 0.4123 0.7500 0.1932 (multiplicity 2)
Si 0.4982 0.2500 0.5436 (multiplicity 2)

## Properties
Formation energy (no corrections) (eV/atom): 0.04
Calculated density (g/cm³): 2.3
M_tot (μB per atom): 0.000
Energy above the most stable polymorph in this dataset (eV/atom): 0.015



Record 11
Crystalline LiCoIrW at its relaxed geometry. Source: Alexandria via LeMat-Bulk, functional GGA-PBE.

a b c (Å): 5.9671 5.9671 5.9671
angles (deg): 90.00 90.00 90.00
Space group F-43m (No. 216)
Asymmetric unit:
Li 0.0000 0.0000 0.0000 (multiplicity 4)
Co 0.2500 0.2500 0.7500 (multiplicity 4)
Ir 0.2500 0.2500 0.2500 (multiplicity 4)
W 0.0000 0.0000 0.5000 (multiplicity 4)

## Properties
Calculated density (g/cm³): 13.8
M_tot (μB per atom): 0.262
Energy relative to the elements (meV per atom): -93



Record 12
Crystalline CsSb2S2 at its relaxed geometry. Source: Alexandria via LeMat-Bulk, functional GGA-PBE.

a b c (Å): 9.6283 9.6283 3.8015
angles (deg): 90.00 90.00 90.00
Space group P4/mbm (No. 127)
Asymmetric unit:
Cs 0.0000 0.0000 0.0000 (multiplicity 2)
Sb 0.1249 0.3751 0.0000 (multiplicity 4)
S 0.2479 0.2521 0.5000 (multiplicity 4)

## Properties
Formation energy (no corrections) (eV/atom): -0.19
Calculated density (g/cm³): 4.2
M_tot (μB per atom): 0.000
Energy above the most stable polymorph in this dataset (eV/atom): 0.076



Record 13
Crystalline SiAgIr at its relaxed geometry. Source: Alexandria via LeMat-Bulk, functional GGA-PBE.

a b c (Å): 2.9052 4.8694 13.3984
angles (deg): 90.00 90.00 90.00
Space group Fmm2 (No. 42)
Asymmetric unit:
Si 0.0000 0.0000 0.0000 (multiplicity 4)
Ag 0.0000 0.0000 0.6732 (multiplicity 4)
Ir 0.0000 0.0000 0.3609 (multiplicity 4)

## Properties
Formation energy (no corrections) (eV/atom): 0.17
Calculated density (g/cm³): 11.5
M_tot (μB per atom): 0.000
Energy above the most stable polymorph in this dataset (eV/atom): 0.287